Record 1
Material: Nd5Tl4H
Method: DFT, PBE-GGA
State: optimized geometry

Properties
The calculation puts the total energy at -77.37 eV for the cell shown. The volume is 28.430 Å³ per atom.

a = 9.7574 Å, b = 9.7574 Å, c = 5.9723 Å
α = 90.00°, β = 90.00°, γ = 90.00°
Space group I4 (No. 79)
Inequivalent atoms, fractional coordinates:
Nd  0.0000  0.0000  0.0000
Nd  0.1268  0.7803  0.5026
Tl  0.0435  0.6598  0.0047
H  0.0000  0.0000  0.5928

=====

Record 2
Material: SmZn2Pt2
Method: DFT, PBE-GGA
State: optimized geometry

Properties
The calculation puts the total energy at -46.77 eV for the cell shown. The volume is 19.046 Å³ per atom. Its formation energy is -0.81 eV per atom. The energy above the most stable polymorph in this dataset comes out at 0.000 eV per atom.

a = 3.9294 Å, b = 3.9294 Å, c = 12.3354 Å
α = 90.00°, β = 90.00°, γ = 90.00°
Space group I4/mmm (No. 139)
Inequivalent atoms, fractional coordinates:
Sm  0.0000  0.0000  0.0000
Zn  0.0000  0.5000  0.2500
Pt  0.0000  0.0000  0.3899

=====

Record 3
Material: ThSiBRh6
Method: DFT, PBE-GGA
State: optimized geometry

Properties
The calculation puts the total energy at -266.61 eV for the cell shown. The volume is 16.346 Å³ per atom. As for the formation energy without anion corrections: -0.3360 eV/atom.

a = 6.4011 Å, b = 8.3032 Å, c = 11.0715 Å
α = 90.00°, β = 90.00°, γ = 90.00°
Space group Imma (No. 74)
Inequivalent atoms, fractional coordinates:
Th  0.0000  0.2500  0.1741
Si  0.2500  0.2500  0.7500
B  0.0000  0.0000  0.5000
Rh  0.0000  0.2500  0.4754
Rh  0.0000  0.2500  0.9056
Rh  0.2306  0.0089  0.6275

=====

Record 4
Material: La2CeNd3S6
Method: DFT, PBE-GGA
State: optimized geometry

Properties
The calculation puts the total energy at -159.58 eV for the cell shown. The volume is 24.248 Å³ per atom. As for the formation energy without anion corrections: -2.0778 eV/atom.

a = 17.8249 Å, b = 4.0855 Å, c = 8.2064 Å
α = 90.00°, β = 103.15°, γ = 90.00°
Space group C2/m (No. 12)
Inequivalent atoms, fractional coordinates:
La  0.1655  0.0000  0.3317
Ce  0.0000  0.5000  0.0000
Nd  0.0000  0.5000  0.5000
Nd  0.1673  0.0000  0.8354
S  0.0020  0.0000  0.7528
S  0.1656  0.5000  0.0798
S  0.1661  0.5000  0.5866

=====

Record 5
Material: LiGa2Pt4
Method: DFT, PBE-GGA
State: optimized geometry

Properties
The calculation puts the total energy at -72.03 eV for the cell shown. The volume is 15.065 Å³ per atom. Its formation energy is -0.55 eV per atom. The energy above the most stable polymorph in this dataset comes out at 0.008 eV per atom.

a = 5.5949 Å, b = 6.2099 Å, c = 7.2492 Å
α = 113.01°, β = 101.38°, γ = 105.00°
Space group P1 (No. 1)
Inequivalent atoms, fractional coordinates:
Li  0.0000  0.0000  0.0000
Li  0.3286  0.8410  0.5537
Ga  0.0763  0.5455  0.7016
Ga  0.4356  0.4135  0.2558
Ga  0.5777  0.5649  0.7287
Ga  0.6557  0.0754  0.3940
Pt  0.2127  0.1576  0.4154
Pt  0.2244  0.6917  0.1444
Pt  0.2737  0.2582  0.8468
Pt  0.4856  0.9497  0.9553
Pt  0.7388  0.7012  0.1370
Pt  0.7685  0.2623  0.8099
Pt  0.8372  0.8150  0.5782
Pt  0.9062  0.3970  0.2888

=====

Record 6
Material: Ac5Mg2In5
Method: DFT, PBE-GGA
State: optimized geometry

Properties
The calculation puts the total energy at -83.51 eV for the cell shown. The volume is 33.059 Å³ per atom. Its formation energy is -0.36 eV per atom.

a = 5.1646 Å, b = 10.6799 Å, c = 14.3845 Å
α = 90.00°, β = 90.00°, γ = 90.00°
Space group Immm (No. 71)
Inequivalent atoms, fractional coordinates:
Ac  0.0000  0.0000  0.0000
Ac  0.0000  0.3112  0.1436
Mg  0.0000  0.5000  0.3425
In  0.0000  0.0000  0.2609
In  0.0000  0.0000  0.5000
In  0.0000  0.2919  0.5000